First-principles (PBE) data for a relaxed Pu3BiAs2Pd9 crystal, as listed in Alexandria.

Calculated volume   351 Å³/cell
N(E_F)   56.9 states/eV/f.u.
Final energy   -7.132 eV per atom
Total magnetic moment   16.32 μB/f.u.
Formation enthalpy at 0 K   -6.26 kcal/mol of atoms

Unit cell a=6.5745 b=6.5745 c=9.3658 alpha=90.00 beta=90.00 gamma=120.00
Space group P-3m1 (No. 164)
Unique sites:
Pu  0.0000  0.0000  0.0000 [1 per cell]
Pu  0.3333  0.6667  0.7405 [2 per cell]
Bi  0.0000  0.0000  0.5000 [1 per cell]
As  0.3333  0.6667  0.1730 [2 per cell]
Pd  0.0000  0.5000  0.0000 [3 per cell]
Pd  0.1408  0.2816  0.2646 [6 per cell]